First-principles (PBE) data for a relaxed structure of Nd3AlAg3S8, as listed in the Alexandria database.

abc: 7.638 7.638 7.682
angles: 115.80 115.80 64.49
Positions (direct):
Nd (0.000, 0.000, 0.000)
Nd (0.000, 0.500, 0.500)
Nd (0.500, 0.000, 0.500)
Al (0.500, 0.500, 0.000)
Ag (0.000, 0.500, 0.000)
Ag (0.500, 0.000, 0.000)
Ag (0.500, 0.500, 0.500)
S (0.249, 0.249, 0.253)
S (0.277, 0.277, 0.786)
S (0.277, 0.713, 0.221)
S (0.287, 0.723, 0.779)
S (0.713, 0.277, 0.221)
S (0.723, 0.287, 0.779)
S (0.723, 0.723, 0.214)
S (0.751, 0.751, 0.747)

Output
**E_form (uncorrected)**: -1.105 eV/atom
**Symmetry**: C2/m
**Size of the total moment**: 0.00 Bohr magnetons per cell
**Energy**: -5.08 eV per atom